No. 1
Hf2NbMo: optimized geometry, PBE-GGA.

abc: 4.7535 4.7535 4.7535
angles: 60.00 60.00 60.00
Sites, in units of the cell vectors:
Hf (0.2500, 0.2500, 0.2500)
Hf (0.0000, 0.0000, 0.0000)
Mo (0.5000, 0.5000, 0.5000)
Nb (0.7500, 0.7500, 0.7500)

Results
formation energy: 0.3 eV/f.u.
space-group type: No. 216

No. 2
Hf2NbMo2: optimized geometry, PBE-GGA.

abc: 6.8006 6.8006 6.8006
angles: 145.32 145.32 49.86
Sites, in units of the cell vectors:
Hf (0.2500, 0.7500, 0.5000)
Hf (0.7500, 0.2500, 0.5000)
Mo (0.4081, 0.4081, 0.0000)
Mo (0.5919, 0.5919, 0.0000)
Nb (0.0000, 0.0000, 0.0000)

Results
formation energy: 3.7 eV/f.u.
space-group type: No. 139

No. 3
HfNb2Mo: optimized geometry, PBE-GGA.

abc: 4.6869 4.6869 4.6869
angles: 60.00 60.00 60.00
Sites, in units of the cell vectors:
Nb (0.0000, 0.0000, 0.0000)
Nb (0.7500, 0.7500, 0.7500)
Hf (0.5000, 0.5000, 0.5000)
Mo (0.2500, 0.2500, 0.2500)

Results
formation energy: 0.1 eV/f.u.
space-group type: No. 216

No. 4
Hf2NbMo2: optimized geometry, PBE-GGA.

abc: 7.6541 7.6541 7.6541
angles: 151.96 151.96 40.07
Sites, in units of the cell vectors:
Mo (0.7500, 0.2500, 0.5000)
Mo (0.2500, 0.7500, 0.5000)
Nb (0.0000, 0.0000, 0.0000)
Hf (0.6004, 0.6004, 0.0000)
Hf (0.3996, 0.3996, 0.0000)

Results
formation energy: 3.1 eV/f.u.
space-group type: No. 139

No. 5
Hf9NiMo4: optimized geometry, PBE-GGA.

abc: 8.6731 8.6731 8.4439
angles: 90.00 90.00 120.00
Sites, in units of the cell vectors:
Hf (0.7998, 0.2002, 0.0567)
Hf (0.4004, 0.2002, 0.0567)
Hf (0.4576, 0.9152, 0.2500)
Hf (0.4576, 0.5424, 0.2500)
Hf (0.7998, 0.5996, 0.0567)
Hf (0.2002, 0.7998, 0.5567)
Hf (0.2002, 0.4004, 0.5567)
Hf (0.2002, 0.4004, 0.9433)
Hf (0.5424, 0.0848, 0.7500)
Hf (0.5424, 0.4576, 0.7500)
Hf (0.7998, 0.5996, 0.4433)
Hf (0.9152, 0.4576, 0.7500)
Hf (0.4004, 0.2002, 0.4433)
Hf (0.5996, 0.7998, 0.5567)
Hf (0.7998, 0.2002, 0.4433)
Hf (0.0848, 0.5424, 0.2500)
Hf (0.5996, 0.7998, 0.9433)
Hf (0.2002, 0.7998, 0.9433)
Ni (0.3333, 0.6667, 0.7500)
Ni (0.6667, 0.3333, 0.2500)
Mo (0.2241, 0.1120, 0.7500)
Mo (0.0000, 0.0000, 0.0000)
Mo (0.8880, 0.1120, 0.7500)
Mo (0.7759, 0.8880, 0.2500)
Mo (0.1120, 0.2241, 0.2500)
Mo (0.1120, 0.8880, 0.2500)
Mo (0.8880, 0.7759, 0.7500)
Mo (0.0000, 0.0000, 0.5000)

Results
formation energy: -2.7 eV/f.u.
space-group type: No. 194

No. 6
HfNiMo2: optimized geometry, PBE-GGA.

abc: 4.4673 4.4673 4.4673
angles: 60.00 60.00 60.00
Sites, in units of the cell vectors:
Ni (0.0000, 0.0000, 0.0000)
Mo (0.5000, 0.5000, 0.5000)
Mo (0.2500, 0.2500, 0.2500)
Hf (0.7500, 0.7500, 0.7500)

Results
formation energy: -0.2 eV/f.u.
space-group type: No. 216

No. 7
HfNiMo: optimized geometry, PBE-GGA.

abc: 4.3209 4.3209 4.3209
angles: 60.00 60.00 60.00
Sites, in units of the cell vectors:
Mo (0.2500, 0.2500, 0.2500)
Hf (0.0000, 0.0000, 0.0000)
Ni (0.7500, 0.7500, 0.7500)

Results
formation energy: 2.9 eV/f.u.
space-group type: No. 216

No. 8
Hf2NiMo: optimized geometry, PBE-GGA.

abc: 4.5756 4.5756 4.5756
angles: 60.00 60.00 60.00
Sites, in units of the cell vectors:
Hf (0.7500, 0.7500, 0.7500)
Hf (0.5000, 0.5000, 0.5000)
Mo (0.2500, 0.2500, 0.2500)
Ni (0.0000, 0.0000, 0.0000)

Results
formation energy: 0.5 eV/f.u.
space-group type: No. 216

In μB per atom, the magnetization values for the records above are, in order, 0.0070, 0.0172, 0.0003, 0.0036, 0.0006, 0.0027, 0.7927, 0.0000.